Record 1
Density functional theory data (PBE) for an optimized crystal structure of PuGeMo.

Calculated values
mass density	11.08	Mg/m³
E	-8.998	eV/atom

Cell and atoms, written as POSCAR:
```
PuGeMo
1.0
0.000 3.138 3.138
3.138 0.000 3.138
3.138 3.138 0.000
Ge Pu Mo
1 1 1
direct
0.250 0.250 0.250
0.000 0.000 0.000
0.750 0.750 0.750
```

---

Record 2
Density functional theory data (PBE) for an optimized crystal structure of NbReSiNi.

Calculated values
mass density	10.64	Mg/m³
E	-8.304	eV/atom

Cell and atoms, written as POSCAR:
```
NbReSiNi
1.0
-4.193 -0.605 0.859
-2.722 3.357 -0.048
-2.928 0.364 -3.159
Si Re Nb Ni
1 1 1 1
direct
0.000 0.000 0.000
0.500 0.500 0.500
0.250 0.250 0.250
0.750 0.750 0.750
```

---

Record 3
Density functional theory data (PBE) for an optimized crystal structure of Tm3In2SnIrPt2.

Calculated values
mass density	12.49	Mg/m³
E	-5.822	eV/atom

Cell and atoms, written as POSCAR:
```
Tm3In2SnIrPt2
1.0
3.809 0.000 0.000
0.000 6.604 3.797
0.000 -6.604 3.797
Ir Pt Sn Tm In
1 2 1 3 2
direct
0.000 0.006 0.006
0.500 0.332 0.664
0.500 0.664 0.332
0.500 0.260 0.260
0.000 0.599 0.599
0.000 0.402 0.999
0.000 0.999 0.402
0.500 0.999 0.738
0.500 0.738 0.999
```